Entry 1:
The following is a DFT calculation (PBE) of a relaxed structure of PmThTcNi.

abc: 4.967 4.967 4.967
angles: 60.00 60.00 60.00
Sites, in units of the cell vectors:
Th 0.000 0.000 0.000
Ni 0.250 0.250 0.250
Pm 0.500 0.500 0.500
Tc 0.750 0.750 0.750

Computed properties:
As for the total moment: 0.001 μB per cell. The formation energy is -0.104 eV/atom. The crystal system is cubic. As for the space group: No. 216. As for the density of states at the Fermi level: 0.979 states/eV/atom.

=====

Entry 2:
The following is a DFT calculation (PBE) of a relaxed structure of AlCr2Fe.

abc: 8.476 8.476 8.476
angles: 17.56 17.56 17.56
Sites, in units of the cell vectors:
Cr 0.504 0.504 0.504
Cr 0.996 0.996 0.996
Al 0.750 0.750 0.750
Fe 0.250 0.250 0.250

Computed properties:
As for the total moment: 0.365 μB per cell. The formation energy is 0.163 eV/atom. The crystal system is trigonal. As for the space group: No. 166. As for the density of states at the Fermi level: 0.882 states/eV/atom. The value obtained for the energy relative to the lowest polymorph listed for this composition is 0.304 eV per atom.

=====

Entry 3:
The following is a DFT calculation (PBE) of a relaxed structure of CeSmCSe.

abc: 3.944 3.944 5.668
angles: 90.00 90.00 90.00
Sites, in units of the cell vectors:
C 0.000 0.000 0.000
Se 0.500 0.500 0.500
Sm 0.000 0.000 0.500
Ce 0.500 0.500 0.000

Computed properties:
As for the total moment: 0.332 μB per cell. The crystal system is tetragonal. As for the space group: No. 123. As for the density of states at the Fermi level: 0.919 states/eV/atom. For the formation energy from raw total energies, the calculation gives -0.78 eV/atom.

=====

Entry 4:
The following is a DFT calculation (PBE) of a relaxed structure of PmEuBiI.

abc: 5.647 5.647 5.647
angles: 60.00 60.00 60.00
Sites, in units of the cell vectors:
Bi 0.750 0.750 0.750
Eu 0.000 0.000 0.000
I 0.250 0.250 0.250
Pm 0.500 0.500 0.500

Computed properties:
As for the total moment: 7.916 μB per cell. The crystal system is cubic. As for the space group: No. 216. As for the density of states at the Fermi level: 0.565 states/eV/atom. For the formation energy from raw total energies, the calculation gives -0.89 eV/atom.

=====

Entry 5:
The following is a DFT calculation (PBE) of a relaxed structure of K2RbI.

abc: 4.937 4.937 12.865
angles: 78.94 78.94 60.00
Sites, in units of the cell vectors:
I 0.666 0.666 0.001
K 0.275 0.275 0.174
K 0.058 0.058 0.827
Rb 0.500 0.500 0.499

Computed properties:
As for the total moment: 0.000 μB per cell. The crystal system is trigonal. As for the space group: No. 160. As for the density of states at the Fermi level: 0.531 states/eV/atom. For the formation energy from raw total energies, the calculation gives -0.68 eV/atom. The value obtained for the energy relative to the lowest polymorph listed for this composition is 0.000 eV per atom.

=====

Entry 6:
The following is a DFT calculation (PBE) of a relaxed structure of Ti7Bi2H2Pt.

abc: 4.167 4.167 11.364
angles: 79.32 79.32 90.00
Sites, in units of the cell vectors:
Pt 0.000 0.000 0.000
H 0.590 0.590 0.821
H 0.410 0.410 0.179
Ti 0.500 0.500 0.000
Ti 0.088 0.588 0.825
Ti 0.588 0.088 0.825
Ti 0.412 0.912 0.175
Ti 0.912 0.412 0.175
Ti 0.320 0.320 0.356
Ti 0.680 0.680 0.644
Bi 0.189 0.189 0.625
Bi 0.811 0.811 0.375

Computed properties:
As for the total moment: 0.001 μB per cell. The crystal system is monoclinic. As for the space group: No. 12. As for the density of states at the Fermi level: 0.703 states/eV/atom. The calculation puts the electronic total energy at -6.692 eV/atom.

=====

Entry 7:
The following is a DFT calculation (PBE) of a relaxed structure of Zr3Tl4NiTe8.

abc: 8.277 9.589 8.281
angles: 115.64 119.99 90.00
Sites, in units of the cell vectors:
Zr 0.000 0.500 0.500
Zr 0.500 0.500 0.500
Zr 0.500 0.500 0.000
Te 0.778 0.307 0.029
Te 0.778 0.307 0.556
Te 0.251 0.307 0.029
Te 0.222 0.693 0.971
Te 0.263 0.290 0.527
Te 0.737 0.710 0.473
Te 0.222 0.693 0.444
Te 0.749 0.693 0.971
Tl 0.500 0.000 0.000
Tl 0.500 0.000 0.500
Tl 0.000 0.000 0.000
Tl 0.000 0.000 0.500
Ni 0.000 0.500 0.000

Computed properties:
As for the total moment: 0.983 μB per cell. The crystal system is monoclinic. As for the space group: No. 12. As for the density of states at the Fermi level: 0.655 states/eV/atom. For the formation energy from raw total energies, the calculation gives -0.51 eV/atom.

=====

Entry 8:
The following is a DFT calculation (PBE) of a relaxed structure of Sc2TlSb.

abc: 5.416 5.416 5.416
angles: 132.76 123.23 76.88
Sites, in units of the cell vectors:
Tl 0.750 0.250 0.500
Sc 0.005 0.005 0.000
Sc 0.495 0.495 0.000
Sb 0.250 0.750 0.500

Computed properties:
As for the total moment: 0.953 μB per cell. The crystal system is orthorhombic. As for the space group: No. 71. As for the density of states at the Fermi level: 0.947 states/eV/atom. For the formation energy from raw total energies, the calculation gives -0.44 eV/atom. The value obtained for the energy relative to the lowest polymorph listed for this composition is 0.079 eV per atom.

=====

What did the seventh record say?
The following is a DFT calculation (PBE) of a relaxed structure of Zr3Tl4NiTe8.

abc: 8.277 9.589 8.281
angles: 115.64 119.99 90.00
Sites, in units of the cell vectors:
Zr 0.000 0.500 0.500
Zr 0.500 0.500 0.500
Zr 0.500 0.500 0.000
Te 0.778 0.307 0.029
Te 0.778 0.307 0.556
Te 0.251 0.307 0.029
Te 0.222 0.693 0.971
Te 0.263 0.290 0.527
Te 0.737 0.710 0.473
Te 0.222 0.693 0.444
Te 0.749 0.693 0.971
Tl 0.500 0.000 0.000
Tl 0.500 0.000 0.500
Tl 0.000 0.000 0.000
Tl 0.000 0.000 0.500
Ni 0.000 0.500 0.000

Computed properties:
As for the total moment: 0.983 μB per cell. The crystal system is monoclinic. As for the space group: No. 12. As for the density of states at the Fermi level: 0.655 states/eV/atom. For the formation energy from raw total energies, the calculation gives -0.51 eV/atom.